(1)
This record from the Alexandria database describes crystalline ZnMoCSe2 at its relaxed geometry. The functional is PBE.

Computed properties:
Formation energy (no corrections) = 1.077 eV/atom
Space-group type = P4/mmm
Magnetic moment = 3.534 Bohr magnetons per cell
Density of states at the Fermi level = 2.07 states/eV per cell

Lattice parameters (Å, degrees): 4.8239 4.8239 3.7098 90.00 90.00 90.00
Last column: nearest neighbours and their distance in Å.
Sites, in units of the cell vectors:
1 Zn 0.0000 0.0000 0.0000  2 C 1.85
2 Mo 0.5000 0.5000 0.0000  8 Se 3.04
3 C 0.0000 0.0000 0.5000  2 Zn 1.85
4 Se 0.0000 0.5000 0.5000  2 C 2.41
5 Se 0.5000 0.0000 0.5000  2 C 2.41

---

(2)
This record from the Alexandria database describes crystalline SiMoC3 at its relaxed geometry. The functional is PBE.

Computed properties:
Formation energy (no corrections) = 1.942 eV/atom
Offset from the most stable computed form = 0 kJ/mol of formula units
Space-group type = Pm-3m
Magnetic moment = 0.000 Bohr magnetons per cell
Density of states at the Fermi level = 3.66 states/eV per cell

Lattice parameters (Å, degrees): 3.6950 3.6950 3.6950 90.00 90.00 90.00
Last column: nearest neighbours and their distance in Å.
Sites, in units of the cell vectors:
1 Si 0.0000 0.0000 0.0000  6 C 1.85
2 Mo 0.5000 0.5000 0.5000  12 C 2.61
3 C 0.0000 0.0000 0.5000  2 Si 1.85
4 C 0.0000 0.5000 0.0000  2 Si 1.85
5 C 0.5000 0.0000 0.0000  2 Si 1.85

---

(3)
This record from the Alexandria database describes crystalline SiMo2C at its relaxed geometry. The functional is PBE.

Computed properties:
Formation energy (no corrections) = -0.060 eV/atom
Offset from the most stable computed form = 0 kJ/mol of formula units
Space-group type = R-3m
Magnetic moment = 0.000 Bohr magnetons per cell
Density of states at the Fermi level = 4.06 states/eV per cell

Lattice parameters (Å, degrees): 6.7893 6.7893 6.7893 25.83 25.83 25.83
Last column: nearest neighbours and their distance in Å.
Sites, in units of the cell vectors:
1 Si 0.0000 0.0000 0.0000  6 Mo 2.73, 6 Si 3.03
2 Mo 0.2270 0.2270 0.2270  3 C 2.12
3 Mo 0.7730 0.7730 0.7730  3 C 2.12
4 C 0.5000 0.5000 0.5000  6 Mo 2.12

---

(4)
This record from the Alexandria database describes crystalline SiMo2C at its relaxed geometry. The functional is PBE.

Computed properties:
Formation energy (no corrections) = 0.694 eV/atom
Offset from the most stable computed form = 291 kJ/mol of formula units
Space-group type = Fm-3m
Magnetic moment = 0.000 Bohr magnetons per cell
Density of states at the Fermi level = 3.25 states/eV per cell

Lattice parameters (Å, degrees): 4.1370 4.1370 4.1370 60.00 60.00 60.00
Last column: nearest neighbours and their distance in Å.
Sites, in units of the cell vectors:
1 Si 0.0000 0.0000 0.0000  8 Mo 2.53
2 Mo 0.2500 0.2500 0.2500  4 Si 2.53, 4 C 2.53
3 Mo 0.7500 0.7500 0.7500  4 Si 2.53, 4 C 2.53
4 C 0.5000 0.5000 0.5000  8 Mo 2.53